1.
SmVIr: relaxed, PBE.

Energy of formation from the pure elements: -38.19 kJ/mol of atoms
Relative energy among the computed polymorphs: 0.000 eV per atom
Spin magnetization: 0.000 μB/atom
Calculated density: 10.782 g/cm3

a = 5.8763 Å, b = 5.8763 Å, c = 5.3407 Å
α = 90.00°, β = 90.00°, γ = 138.91°
Last column: nearest neighbours and their distance in Å.
Element x y z (fractional)
Sm 0.2114 0.7886 0.7500  5 Ir 3.00-3.24
Sm 0.7886 0.2114 0.2500  5 Ir 3.00-3.24
V 0.5000 0.5000 0.0000  4 Ir 2.55, 2 V 2.67
V 0.5000 0.5000 0.5000  4 Ir 2.55, 2 V 2.67
Ir 0.0610 0.9390 0.2500  4 V 2.55
Ir 0.9390 0.0610 0.7500  4 V 2.55



2.
TbYGeIr: relaxed, PBE.

Energy of formation from the pure elements: -66.11 kJ/mol of atoms
Relative energy among the computed polymorphs: 0.166 eV per atom
Spin magnetization: 0.000 μB/atom
Calculated density: 9.775 g/cm3

a = 4.9755 Å, b = 4.9755 Å, c = 4.9755 Å
α = 60.00°, β = 60.00°, γ = 60.00°
Last column: nearest neighbours and their distance in Å.
Element x y z (fractional)
Tb 0.0000 0.0000 0.0000  4 Ge 3.05, 4 Ir 3.05
Y 0.5000 0.5000 0.5000  4 Ir 3.05, 4 Ge 3.05
Ge 0.2500 0.2500 0.2500  4 Y 3.05, 4 Tb 3.05
Ir 0.7500 0.7500 0.7500  4 Tb 3.05, 4 Y 3.05